5
Lattice="4.599 0.000 0.000 0.000 4.599 0.000 0.000 0.000 4.215" Properties=species:S:1:pos:R:3 comment="PBE with a Hubbard U TlVOF2, optimized geometry" total_magnetization_mub_per_cell=3.572 sg="No. 123" vol_a3_per_atom=17.83 total_energy_ev_per_fu=-22.45 pbc="T T T"
Tl 0.000 0.000 0.000
V 2.299 2.299 2.108
O 0.000 0.000 2.108
F 0.000 2.299 0.000
F 2.299 0.000 0.000